Entry 1:
# PBE Ti2MnV, optimized geometry
# Formation energy (kJ/mol of formula units): -24
# Final energy (eV per atom): -8.58
# DOS at the Fermi energy (states/eV per cell): 6.7
# ΔE to the lowest computed polymorph (eV/atom): 0.000
data_Ti2MnV
_symmetry_space_group_name_H-M 'P 4/m m m'
_symmetry_Int_Tables_number 123
_symmetry_space_group_name_Hall '-P 4 2'
_cell_length_a 2.9758
_cell_length_b 2.9758
_cell_length_c 6.4381
_cell_angle_alpha 90.00
_cell_angle_beta 90.00
_cell_angle_gamma 90.00
loop_
_atom_site_label
_atom_site_type_symbol
_atom_site_fract_x
_atom_site_fract_y
_atom_site_fract_z
_atom_site_occupancy
Ti1 Ti 0.0000 0.0000 0.2259 1
Mn1 Mn 0.5000 0.5000 0.0000 1
V1 V 0.5000 0.5000 0.5000 1

---

Entry 2:
# PBE SnHPt2Se, optimized geometry
# Final energy (eV per atom): -4.06
# DOS at the Fermi energy (states/eV per cell): 2.3
data_SnHPt2Se
_symmetry_space_group_name_H-M 'P 4/m m m'
_symmetry_Int_Tables_number 123
_symmetry_space_group_name_Hall '-P 4 2'
_cell_length_a 5.0992
_cell_length_b 5.0992
_cell_length_c 3.5084
_cell_angle_alpha 90.00
_cell_angle_beta 90.00
_cell_angle_gamma 90.00
loop_
_atom_site_label
_atom_site_type_symbol
_atom_site_fract_x
_atom_site_fract_y
_atom_site_fract_z
_atom_site_occupancy
Sn1 Sn 0.0000 0.0000 0.0000 1
H1 H 0.0000 0.0000 0.5000 1
Pt1 Pt 0.0000 0.5000 0.0000 1
Se1 Se 0.5000 0.5000 0.5000 1

---

Entry 3:
# PBE CaMgHg6, optimized geometry
# Formation energy (kJ/mol of formula units): -32
# Final energy (eV per atom): -0.72
# DOS at the Fermi energy (states/eV per cell): 5.3
# ΔE to the lowest computed polymorph (eV/atom): 0.191
data_CaMgHg6
_symmetry_space_group_name_H-M 'R -3 m'
_symmetry_Int_Tables_number 166
_symmetry_space_group_name_Hall '-R 3 2"'
_cell_length_a 6.1517
_cell_length_b 6.1517
_cell_length_c 24.7229
_cell_angle_alpha 90.00
_cell_angle_beta 90.00
_cell_angle_gamma 120.00
loop_
_atom_site_label
_atom_site_type_symbol
_atom_site_fract_x
_atom_site_fract_y
_atom_site_fract_z
_atom_site_occupancy
Ca1 Ca 0.0000 0.0000 0.0000 1
Mg1 Mg 0.0000 0.0000 0.5000 1
Hg1 Hg 0.0052 0.5026 0.4377 1